36
Lattice="5.456 0.000 0.000 0.000 5.698 0.050 0.000 5.637 15.884" Properties=species:S:1:pos:R:3 comment="GGA+U CaLa3Mn4O10, relaxed" energy_ev_per_fu=-132.33 sg="No. 7" pbc="T T T"
Ca 1.181 2.754 1.792
Ca 4.275 5.572 9.734
La 3.968 5.746 6.272
La 1.484 8.637 9.765
La 4.235 5.540 14.084
La 1.488 8.565 14.213
La 1.221 2.722 6.142
La 3.972 5.818 1.823
Mn 1.125 5.365 3.950
Mn 3.799 3.144 3.953
Mn 1.657 5.962 11.894
Mn 4.332 8.183 11.892
Mn 4.102 2.848 0.069
Mn 1.354 5.666 8.011
Mn 4.079 8.514 8.027
Mn 1.377 5.695 0.086
O 0.174 7.165 15.632
O 2.911 6.951 8.270
O 2.583 4.037 7.654
O 5.327 4.479 0.296
O 2.546 4.132 0.328
O 5.282 4.347 7.690
O 0.129 7.297 8.237
O 2.874 6.855 15.596
O 1.771 3.429 3.944
O 4.500 5.105 4.040
O 0.956 7.923 11.982
O 3.685 6.247 11.885
O 4.271 2.440 2.169
O 1.453 6.056 5.826
O 4.000 8.928 10.063
O 1.300 5.271 13.793
O 4.003 8.875 13.768
O 1.185 5.258 10.111
O 4.156 2.452 5.851
O 1.456 6.109 2.121

---

10
Lattice="5.647 -0.010 -0.007 2.630 4.998 -0.007 2.630 1.585 4.740" Properties=species:S:1:pos:R:3 comment="GGA+U CaLa2MnO6, relaxed" energy_ev_per_fu=-75.61 sg="No. 148" pbc="T T T"
Ca 5.453 3.286 2.363
La 8.300 5.002 3.597
La 2.606 1.570 1.129
Mn 0.000 0.000 0.000
O 4.249 4.157 0.630
O 5.660 1.175 1.520
O 3.683 2.860 3.740
O 6.657 2.416 4.096
O 7.223 3.713 0.986
O 5.246 5.398 3.205

---

30
Lattice="0.979 4.944 2.348 -4.439 -0.692 -3.275 -7.274 -3.604 10.622" Properties=species:S:1:pos:R:3 comment="GGA+U CaLa2Mn3O9, relaxed" energy_ev_per_fu=-115.43 sg="No. 165" pbc="T T T"
Ca -5.455 -2.703 7.966
Ca -1.818 -0.901 2.655
La -3.258 0.877 -0.488
La -3.839 1.573 4.872
La -6.895 -0.925 4.823
La -7.476 -0.229 10.183
Mn -5.049 -0.011 2.128
Mn 0.000 0.000 0.000
Mn -5.685 0.658 7.567
Mn -8.686 -1.813 7.439
Mn -3.637 -1.802 5.311
Mn -2.048 2.460 2.256
O -0.311 3.427 2.323
O -6.347 -1.517 2.179
O -6.935 -0.885 7.570
O -1.295 1.216 0.899
O -6.366 1.146 3.069
O -7.996 -3.099 6.092
O -2.656 3.670 0.799
O -4.317 -0.592 3.883
O -4.895 0.126 9.310
O -9.439 -0.569 8.796
O -3.717 -1.197 1.255
O -4.368 -0.498 6.626
O -8.078 -3.022 8.896
O -1.400 1.213 3.660
O -6.417 1.240 5.812
O -10.423 -2.779 7.372
O -3.799 1.532 2.125
O -4.387 2.165 7.516

---

20
Lattice="7.757 0.000 0.000 0.000 5.487 -0.117 0.000 0.154 5.509" Properties=species:S:1:pos:R:3 comment="GGA+U CaLaMn2O6, relaxed" energy_ev_per_fu=-75.17 sg="No. 11" pbc="T T T"
Ca 5.818 2.851 5.262
Ca 1.939 2.789 0.129
La 5.818 0.104 2.582
La 1.939 5.537 2.810
Mn 0.000 0.000 0.000
Mn 0.000 2.820 2.696
Mn 3.878 0.000 0.000
Mn 3.878 2.820 2.696
O 5.818 3.176 2.843
O 1.939 2.465 2.548
O 5.818 5.067 -0.091
O 1.939 0.573 5.483
O 4.223 1.576 1.164
O 0.345 4.065 4.228
O 3.533 4.065 4.228
O 7.412 1.576 1.164
O 3.648 4.368 1.494
O 7.526 1.272 3.897
O 4.109 1.272 3.897
O 0.231 4.368 1.494

---

20
Lattice="-1.227 -5.310 -0.049 5.164 -1.187 -1.071 1.468 -0.411 7.535" Properties=species:S:1:pos:R:3 comment="GGA+U Ca3LaMn4O12, relaxed" energy_ev_per_fu=-144.70 sg="No. 6" pbc="T T T"
Ca 3.068 -3.343 5.103
Ca -0.028 -5.397 5.594
Ca 2.330 -3.577 1.313
La 5.464 -1.450 0.817
Mn 5.290 -4.050 2.706
Mn 4.041 -1.005 6.961
Mn 6.012 -4.251 6.405
Mn 3.322 -0.804 3.271
O 4.054 -1.139 5.031
O 5.222 -4.141 4.640
O 1.426 -5.835 1.366
O 0.144 -2.823 1.779
O 2.226 -1.747 7.021
O 1.602 -1.574 3.817
O 1.403 -4.352 3.739
O 2.015 -4.522 6.878
O 3.778 -5.295 2.635
O 3.142 -5.118 -0.628
O 3.397 -2.386 -0.449
O 4.004 -2.555 2.660

---

20
Lattice="-1.166 4.728 2.526 -5.146 -0.190 -2.013 -2.299 -3.904 6.245" Properties=species:S:1:pos:R:3 comment="GGA+U CaLaMn2O6, relaxed" energy_ev_per_fu=-75.18 sg="No. 31" pbc="T T T"
Ca -3.371 2.668 5.193
Ca -6.939 -1.759 5.878
La -2.578 4.535 1.886
La -5.398 0.137 2.865
Mn -2.418 1.228 2.266
Mn -6.724 1.545 5.646
Mn -3.565 -0.719 5.382
Mn -5.572 3.502 2.515
O -6.166 2.198 3.870
O -3.968 -2.016 6.811
O -3.844 0.119 -1.340
O -3.158 0.621 3.991
O -2.865 0.516 6.763
O -1.547 2.751 3.186
O -6.918 -1.743 3.171
O -5.935 -0.073 0.495
O -3.271 -0.326 1.365
O -4.231 -1.959 3.977
O -4.051 2.341 1.970
O -5.387 0.073 5.597

---

20
Lattice="-0.244 -5.438 -1.025 1.462 -1.093 5.448 -7.656 -0.030 2.049" Properties=species:S:1:pos:R:3 comment="GGA+U CaLaMnRuO6, relaxed" energy_ev_per_fu=-75.51 sg="No. 7" pbc="T T T"
Ca -1.210 -3.256 3.056
Ca -4.600 -6.409 5.655
La -1.850 -0.133 0.791
La -5.224 -3.298 3.449
Mn -3.085 -0.568 3.762
Mn -6.313 -3.842 6.966
Ru 0.725 -0.551 2.734
Ru -2.498 -3.828 5.954
O -5.051 -1.119 4.379
O 0.698 -1.905 4.199
O -2.336 -2.045 5.087
O 0.006 -1.928 1.487
O -3.068 -2.030 2.161
O -5.718 -2.225 1.280
O -0.719 -4.290 5.175
O -3.360 -4.559 4.309
O -6.443 -4.661 5.014
O -4.118 -4.532 1.350
O -7.130 -4.681 2.260
O -1.374 -5.406 2.123

---

20
Lattice="-5.166 1.130 1.399 0.576 -3.029 4.573 2.366 6.275 3.857" Properties=species:S:1:pos:R:3 comment="GGA+U CaLaTiMnO6, relaxed" energy_ev_per_fu=-79.49 sg="No. 7" pbc="T T T"
Ca -0.394 2.888 7.240
Ca 0.668 0.963 1.928
La -3.194 4.953 5.579
La -1.547 -0.051 4.916
Ti -2.369 5.120 8.694
Ti -1.259 2.946 3.757
Mn 1.616 0.874 5.355
Mn -2.437 -0.193 1.852
O -3.779 0.300 5.769
O -0.319 4.483 4.567
O -1.752 6.833 4.980
O 0.184 0.315 6.603
O -2.753 4.140 3.324
O -0.817 -2.376 4.945
O -1.104 5.193 7.179
O 0.249 1.741 4.172
O -2.080 2.558 5.531
O -0.724 -0.917 2.560
O -2.235 1.431 2.968
O 1.807 2.558 6.380